DFT (PBE-GGA) results for a relaxed FeGePt2I crystal.

For the electronic total energy, the calculation gives -4.63 eV per atom. As for the volume: 105.6 Å³ per cell.

The space group is P4/mmm (No. 123) and the conventional cell measures 4.769, 4.769 and 4.643 Å, with angles of 90.00, 90.00 and 90.00 degrees. The distinct sites, in fractional coordinates, are Fe at (0.000, 0.000, 0.000), Ge at (0.000, 0.000, 0.500), Pt at (0.000, 0.500, 0.500) and I at (0.500, 0.500, 0.000).



DFT (PBE-GGA) results for a relaxed RbFe2GeI8 crystal.

For the electronic total energy, the calculation gives -3.31 eV per atom. As for the volume: 1074.0 Å³ per cell.

The space group is C2/m (No. 12) and the conventional cell measures 12.157, 8.339 and 10.671 Å, with angles of 90.00, 96.88 and 90.00 degrees. The distinct sites, in fractional coordinates, are Rb at (0.000, 0.000, 0.000), Fe at (0.115, 0.500, 0.287), Ge at (0.000, 0.000, 0.500), I at (0.017, 0.252, 0.708), I at (0.194, 0.500, 0.076) and I at (0.248, 0.000, 0.509).



DFT (PBE-GGA) results for a relaxed Rb2FeGeI6 crystal.

For the electronic total energy, the calculation gives -3.09 eV per atom. As for the volume: 1586.4 Å³ per cell.

The space group is Fm-3m (No. 225) and the conventional cell measures 11.663, 11.663 and 11.663 Å, with angles of 90.00, 90.00 and 90.00 degrees. The distinct sites, in fractional coordinates, are Rb at (0.250, 0.250, 0.250), Fe at (0.000, 0.000, 0.000), Ge at (0.000, 0.000, 0.500) and I at (0.000, 0.000, 0.243).



DFT (PBE-GGA) results for a relaxed FeReGe2I crystal.

For the electronic total energy, the calculation gives -4.09 eV per atom. As for the volume: 133.8 Å³ per cell.

The space group is P4/mmm (No. 123) and the conventional cell measures 5.408, 5.408 and 4.576 Å, with angles of 90.00, 90.00 and 90.00 degrees. The distinct sites, in fractional coordinates, are Fe at (0.000, 0.000, 0.000), Re at (0.500, 0.500, 0.000), Ge at (0.000, 0.500, 0.500) and I at (0.000, 0.000, 0.500).